{
  "formula": "Pm7NdHo2",
  "functional": "PBE-GGA",
  "state": "relaxed",
  "crystal_system": "orthorhombic",
  "vol_a3_per_atom": 36.0,
  "e_above_lowest_polymorph_kj_per_mol_atoms": 0.0,
  "cell": [[-1.7096, -2.5316, 1.7238], [-2.1570, -4.7029, -9.0458], [9.0579, -3.6196, 3.6673]],
  "species": ["Ho", "Ho", "Pm", "Pm", "Pm", "Pm", "Pm", "Pm", "Pm", "Nd"],
  "fractional_positions": [[0.5000, 0.8311, 0.1689], [0.5000, 0.1689, 0.8311], [0.0000, 0.6764, 0.3236], [0.0000, 0.3236, 0.6764], [0.5000, 0.3880, 0.1246], [0.5000, 0.1246, 0.3880], [0.5000, 0.8754, 0.6120], [0.5000, 0.5000, 0.5000], [0.5000, 0.6120, 0.8754], [0.0000, 0.0000, 0.0000]]
}

---

{
  "formula": "Pm2Nd6Ho",
  "functional": "PBE-GGA",
  "state": "relaxed",
  "crystal_system": "monoclinic",
  "vol_a3_per_atom": 34.4,
  "e_above_lowest_polymorph_kj_per_mol_atoms": 0.0,
  "cell": [[6.2737, -0.1316, -0.1274], [1.1548, 10.0772, 1.4771], [1.1548, 1.8029, 10.0240]],
  "species": ["Nd", "Nd", "Nd", "Nd", "Nd", "Nd", "Nd", "Nd", "Nd", "Nd", "Nd", "Nd", "Pm", "Pm", "Pm", "Pm", "Ho", "Ho"],
  "fractional_positions": [[0.1800, 0.9759, 0.2564], [0.3200, 0.7436, 0.0241], [0.5136, 0.3117, 0.5924], [0.8200, 0.0241, 0.7436], [0.1503, 0.3495, 0.0743], [0.4864, 0.6883, 0.4076], [0.3497, 0.9257, 0.6505], [0.6503, 0.0743, 0.3495], [0.8497, 0.6505, 0.9257], [0.9864, 0.4076, 0.6883], [0.6800, 0.2564, 0.9759], [0.0136, 0.5924, 0.3117], [0.4193, 0.5672, 0.7681], [0.5807, 0.4328, 0.2319], [0.9193, 0.7681, 0.5672], [0.0807, 0.2319, 0.4328], [0.2500, 0.0993, 0.9007], [0.7500, 0.9007, 0.0993]]
}

---

{
  "formula": "Pm4NdHo5",
  "functional": "PBE-GGA",
  "state": "relaxed",
  "crystal_system": "tetragonal",
  "vol_a3_per_atom": 33.4,
  "e_above_lowest_polymorph_kj_per_mol_atoms": 8.8,
  "cell": [[-2.9711, 5.4980, 0.1861], [-7.8949, -0.6927, -0.5570], [-1.9548, 2.2493, 7.3648]],
  "species": ["Ho", "Ho", "Ho", "Ho", "Ho", "Pm", "Pm", "Pm", "Pm", "Nd"],
  "fractional_positions": [[0.7953, 0.3786, 0.9279], [0.7232, 0.0721, 0.3786], [0.1739, 0.9279, 0.6214], [0.1017, 0.6214, 0.0721], [0.6809, 0.0000, 0.0000], [0.1079, 0.3036, 0.3882], [0.4115, 0.3882, 0.6964], [0.7997, 0.6964, 0.6118], [0.4961, 0.6118, 0.3036], [0.2201, 0.0000, 0.0000]]
}

---

{
  "formula": "Pm2Nd4Ho3",
  "functional": "PBE-GGA",
  "state": "relaxed",
  "crystal_system": "monoclinic",
  "vol_a3_per_atom": 33.6,
  "e_above_lowest_polymorph_kj_per_mol_atoms": 0.0,
  "cell": [[-2.8274, 2.0724, -0.7207], [0.2878, -2.8806, -9.4129], [-3.7973, -8.0197, 0.7227]],
  "species": ["Nd", "Nd", "Nd", "Nd", "Pm", "Pm", "Ho", "Ho", "Ho"],
  "fractional_positions": [[0.6635, 0.7804, 0.3269], [0.5003, 0.3317, 0.0006], [0.4997, 0.6683, 0.9994], [0.3365, 0.2196, 0.6731], [0.3252, 0.8775, 0.6504], [0.6748, 0.1225, 0.3496], [0.8381, 0.5423, 0.6761], [0.1619, 0.4577, 0.3239], [0.0000, 0.0000, 0.0000]]
}

---

{
  "formula": "Pm4Nd3Ho5",
  "functional": "PBE-GGA",
  "state": "relaxed",
  "crystal_system": "triclinic",
  "vol_a3_per_atom": 33.1,
  "e_above_lowest_polymorph_kj_per_mol_atoms": 0.0,
  "cell": [[-3.6291, 5.2908, 3.2783], [-3.2188, -10.7381, -2.0757], [5.6084, 8.9613, 7.5614]],
  "species": ["Nd", "Nd", "Nd", "Ho", "Ho", "Ho", "Ho", "Ho", "Pm", "Pm", "Pm", "Pm"],
  "fractional_positions": [[0.0000, 0.0000, 0.5000], [0.4184, 0.8359, 0.6683], [0.5816, 0.1641, 0.3317], [0.7509, 0.5007, 0.0005], [0.6694, 0.3347, 0.1654], [0.5000, 0.0000, 0.5000], [0.2491, 0.4993, 0.9995], [0.3306, 0.6653, 0.8346], [0.9173, 0.8364, 0.6687], [0.1694, 0.3379, 0.1683], [0.0827, 0.1636, 0.3313], [0.8306, 0.6621, 0.8317]]
}

---

{
  "formula": "PmNd4Ho10",
  "functional": "PBE-GGA",
  "state": "relaxed",
  "crystal_system": "tetragonal",
  "vol_a3_per_atom": 33.8,
  "final_energy_ev_per_atom": -4.371,
  "cell": [[7.2878, 0.0000, 3.2908], [3.6439, 7.9667, 1.6454], [0.3654, 0.0000, 8.9061]],
  "species": ["Nd", "Nd", "Nd", "Nd", "Ho", "Ho", "Ho", "Ho", "Ho", "Ho", "Ho", "Ho", "Ho", "Ho", "Pm"],
  "fractional_positions": [[0.7724, 0.0002, 0.4550], [0.2276, 0.9998, 0.5450], [0.2274, 0.5450, 0.0002], [0.7726, 0.4550, 0.9998], [0.7050, 0.2080, 0.7919], [0.2500, 0.5000, 0.5000], [0.5030, 0.7919, 0.7920], [0.2950, 0.7920, 0.2081], [0.2950, 0.2080, 0.7919], [0.9130, 0.7919, 0.7920], [0.0870, 0.2081, 0.2080], [0.7050, 0.7920, 0.2081], [0.7500, 0.5000, 0.5000], [0.4970, 0.2081, 0.2080], [0.0000, 0.0000, 0.0000]]
}